[1]
DFT (SCAN) results for a PBEsol-optimized structure of TlSb2O6.

Results
Space-group type: No. 74
Formation energy (no corrections): -1.22 eV/atom

a b c (Å): 7.3483 7.3483 7.3483
angles (deg): 120.56 120.44 89.14
Last column: nearest neighbours and their distance in Å.
Sites, in units of the cell vectors:
1 Tl 0.5000 0.0000 0.0000  6 O 2.52-2.60
2 Tl 0.5000 0.5000 0.5000  6 O 2.52-2.60
3 Sb 0.0000 0.0000 0.0000  6 O 1.98-1.99
4 Sb 0.0000 0.0000 0.5000  6 O 1.95-2.02
5 Sb 0.0000 0.5000 0.0000  6 O 1.95-2.02
6 Sb 0.5000 0.0000 0.5000  6 O 1.98-1.99
7 O 0.0674 0.3174 0.7500  2 Sb 1.95
8 O 0.0854 0.3253 0.1549  2 Sb 1.99-2.02
9 O 0.0854 0.9305 0.7600  2 Sb 1.99-2.02
10 O 0.3233 0.0733 0.2500  2 Sb 1.98
11 O 0.3295 0.0695 0.6549  2 Sb 1.99-2.02
12 O 0.3295 0.6747 0.2600  2 Sb 1.99-2.02
13 O 0.6705 0.3253 0.7400  2 Sb 1.99-2.02
14 O 0.6705 0.9305 0.3451  2 Sb 1.99-2.02
15 O 0.6767 0.9267 0.7500  2 Sb 1.98
16 O 0.9146 0.0695 0.2400  2 Sb 1.99-2.02
17 O 0.9146 0.6747 0.8451  2 Sb 1.99-2.02
18 O 0.9326 0.6826 0.2500  2 Sb 1.95


[2]
DFT (SCAN) results for a PBEsol-optimized structure of Tl5SbO5.

Results
Space-group type: No. 36
Formation energy (no corrections): -1.02 eV/atom

a b c (Å): 7.9442 7.9442 13.6015
angles (deg): 90.00 90.00 95.11
Last column: nearest neighbours and their distance in Å.
Sites, in units of the cell vectors:
1 Tl 0.0126 0.9874 0.6096  2 O 2.52
2 Tl 0.0978 0.5794 0.0000  3 O 2.48-2.69
3 Tl 0.1289 0.5371 0.2515  3 O 2.45-2.59
4 Tl 0.1432 0.1811 0.8611  3 O 2.47-2.68
5 Tl 0.1811 0.1432 0.3611  3 O 2.47-2.68
6 Tl 0.2326 0.7674 0.7651  3 O 2.41-2.55
7 Tl 0.2995 0.3744 0.6216  3 O 2.42-2.68
8 Tl 0.3744 0.2995 0.1216  3 O 2.42-2.68
9 Tl 0.4206 0.9022 0.0000  3 O 2.48-2.69
10 Tl 0.4629 0.8711 0.2515  3 O 2.45-2.59
11 Tl 0.5371 0.1289 0.7515  3 O 2.45-2.59
12 Tl 0.5794 0.0978 0.5000  3 O 2.48-2.69
13 Tl 0.6256 0.7005 0.6216  3 O 2.42-2.68
14 Tl 0.7005 0.6256 0.1216  3 O 2.42-2.68
15 Tl 0.7674 0.2326 0.2651  3 O 2.41-2.55
16 Tl 0.8189 0.8568 0.8611  3 O 2.47-2.68
17 Tl 0.8568 0.8189 0.3611  3 O 2.47-2.68
18 Tl 0.8711 0.4629 0.7515  3 O 2.45-2.59
19 Tl 0.9022 0.4206 0.5000  3 O 2.48-2.69
20 Tl 0.9874 0.0126 0.1096  2 O 2.52
21 Sb 0.2534 0.7466 0.4713  6 O 1.99-2.07
22 Sb 0.4915 0.5085 0.8847  6 O 1.99-2.09
23 Sb 0.5085 0.4915 0.3847  6 O 1.99-2.09
24 Sb 0.7466 0.2534 0.9713  6 O 1.99-2.07
25 O 0.0087 0.7231 0.5065  1 Sb 1.99
26 O 0.1898 0.8102 0.3333  1 Sb 2.02
27 O 0.2453 0.4833 0.8507  1 Sb 2.00
28 O 0.2550 0.4985 0.4247  2 Sb 2.07-2.09
29 O 0.2769 0.9913 0.5065  1 Sb 1.99
30 O 0.3216 0.6784 0.6053  1 Sb 1.99
31 O 0.4330 0.5670 0.0224  1 Sb 1.99
32 O 0.4457 0.5543 0.2484  1 Sb 2.00
33 O 0.4833 0.2453 0.3507  1 Sb 2.00
34 O 0.4985 0.2550 0.9247  2 Sb 2.07-2.09
35 O 0.5015 0.7450 0.4247  2 Sb 2.07-2.09
36 O 0.5167 0.7547 0.8507  1 Sb 2.00
37 O 0.5543 0.4457 0.7484  1 Sb 2.00
38 O 0.5670 0.4330 0.5224  1 Sb 1.99
39 O 0.6784 0.3216 0.1053  1 Sb 1.99
40 O 0.7231 0.0087 0.0065  1 Sb 1.99
41 O 0.7450 0.5015 0.9247  2 Sb 2.07-2.09
42 O 0.7547 0.5167 0.3507  1 Sb 2.00
43 O 0.8102 0.1898 0.8333  1 Sb 2.02
44 O 0.9913 0.2769 0.0065  1 Sb 1.99


[3]
DFT (SCAN) results for a PBEsol-optimized structure of Tl2Sb3O9.

Results
Space-group type: No. 201
Formation energy (no corrections): -1.28 eV/atom

a b c (Å): 9.4324 9.4324 9.4324
angles (deg): 90.00 90.00 90.00
Last column: nearest neighbours and their distance in Å.
Sites, in units of the cell vectors:
1 Tl 0.1127 0.1127 0.1127  6 O 2.63-2.80
2 Tl 0.1127 0.3873 0.3873  6 O 2.63-2.80
3 Tl 0.3873 0.1127 0.3873  6 O 2.63-2.80
4 Tl 0.3873 0.3873 0.1127  6 O 2.63-2.80
5 Tl 0.6127 0.6127 0.8873  6 O 2.63-2.80
6 Tl 0.6127 0.8873 0.6127  6 O 2.63-2.80
7 Tl 0.8873 0.6127 0.6127  6 O 2.63-2.80
8 Tl 0.8873 0.8873 0.8873  6 O 2.63-2.80
9 Sb 0.0859 0.2500 0.7500  6 O 1.97-2.02
10 Sb 0.2500 0.5859 0.7500  6 O 1.97-2.02
11 Sb 0.2500 0.7500 0.0859  6 O 1.97-2.02
12 Sb 0.2500 0.7500 0.4141  6 O 1.97-2.02
13 Sb 0.2500 0.9141 0.7500  6 O 1.97-2.02
14 Sb 0.4141 0.2500 0.7500  6 O 1.97-2.02
15 Sb 0.5859 0.7500 0.2500  6 O 1.97-2.02
16 Sb 0.7500 0.0859 0.2500  6 O 1.97-2.02
17 Sb 0.7500 0.2500 0.5859  6 O 1.97-2.02
18 Sb 0.7500 0.2500 0.9141  6 O 1.97-2.02
19 Sb 0.7500 0.4141 0.2500  6 O 1.97-2.02
20 Sb 0.9141 0.7500 0.2500  6 O 1.97-2.02
21 O 0.0377 0.7440 0.4187  2 Sb 1.97-2.00
22 O 0.0377 0.7560 0.0813  2 Sb 1.97-2.00
23 O 0.0813 0.0377 0.7560  2 Sb 1.97-2.00
24 O 0.0813 0.4623 0.7440  2 Sb 1.97-2.00
25 O 0.1118 0.7500 0.7500  2 Sb 2.02
26 O 0.2440 0.5813 0.5377  2 Sb 1.97-2.00
27 O 0.2440 0.9187 0.9623  2 Sb 1.97-2.00
28 O 0.2500 0.2500 0.6118  2 Sb 2.02
29 O 0.2500 0.2500 0.8882  2 Sb 2.02
30 O 0.2500 0.6118 0.2500  2 Sb 2.02
31 O 0.2500 0.8882 0.2500  2 Sb 2.02
32 O 0.2560 0.5813 0.9623  2 Sb 1.97-2.00
33 O 0.2560 0.9187 0.5377  2 Sb 1.97-2.00
34 O 0.3882 0.7500 0.7500  2 Sb 2.02
35 O 0.4187 0.0377 0.7440  2 Sb 1.97-2.00
36 O 0.4187 0.4623 0.7560  2 Sb 1.97-2.00
37 O 0.4623 0.7440 0.0813  2 Sb 1.97-2.00
38 O 0.4623 0.7560 0.4187  2 Sb 1.97-2.00
39 O 0.5377 0.2440 0.5813  2 Sb 1.97-2.00
40 O 0.5377 0.2560 0.9187  2 Sb 1.97-2.00
41 O 0.5813 0.5377 0.2440  2 Sb 1.97-2.00
42 O 0.5813 0.9623 0.2560  2 Sb 1.97-2.00
43 O 0.6118 0.2500 0.2500  2 Sb 2.02
44 O 0.7440 0.0813 0.4623  2 Sb 1.97-2.00
45 O 0.7440 0.4187 0.0377  2 Sb 1.97-2.00
46 O 0.7500 0.1118 0.7500  2 Sb 2.02
47 O 0.7500 0.3882 0.7500  2 Sb 2.02
48 O 0.7500 0.7500 0.1118  2 Sb 2.02
49 O 0.7500 0.7500 0.3882  2 Sb 2.02
50 O 0.7560 0.0813 0.0377  2 Sb 1.97-2.00
51 O 0.7560 0.4187 0.4623  2 Sb 1.97-2.00
52 O 0.8882 0.2500 0.2500  2 Sb 2.02
53 O 0.9187 0.5377 0.2560  2 Sb 1.97-2.00
54 O 0.9187 0.9623 0.2440  2 Sb 1.97-2.00
55 O 0.9623 0.2440 0.9187  2 Sb 1.97-2.00
56 O 0.9623 0.2560 0.5813  2 Sb 1.97-2.00


[4]
DFT (SCAN) results for a PBEsol-optimized structure of TlSbO3.

Results
Space-group type: No. 148
Formation energy (no corrections): -1.38 eV/atom

a b c (Å): 7.7719 7.7719 7.7719
angles (deg): 40.30 40.30 40.30
Last column: nearest neighbours and their distance in Å.
Sites, in units of the cell vectors:
1 Tl 0.1221 0.1221 0.1221  3 O 2.53
2 Tl 0.8779 0.8779 0.8779  3 O 2.53
3 Sb 0.3334 0.3334 0.3334  6 O 2.01
4 Sb 0.6666 0.6666 0.6666  6 O 2.01
5 O 0.0524 0.6708 0.4342  2 Sb 2.01
6 O 0.3292 0.5658 0.9476  2 Sb 2.01
7 O 0.4342 0.0524 0.6708  2 Sb 2.01
8 O 0.5658 0.9476 0.3292  2 Sb 2.01
9 O 0.6708 0.4342 0.0524  2 Sb 2.01
10 O 0.9476 0.3292 0.5658  2 Sb 2.01


[5]
DFT (SCAN) results for a PBEsol-optimized structure of TlSbO3.

Results
Space-group type: No. 163
Formation energy (no corrections): -1.38 eV/atom

a b c (Å): 5.3534 5.3534 14.2710
angles (deg): 90.00 90.00 120.00
Last column: nearest neighbours and their distance in Å.
Sites, in units of the cell vectors:
1 Tl 0.3333 0.6667 0.0669  3 O 2.53
2 Tl 0.3333 0.6667 0.4331  3 O 2.53
3 Tl 0.6667 0.3333 0.5669  3 O 2.53
4 Tl 0.6667 0.3333 0.9331  3 O 2.53
5 Sb 0.0000 0.0000 0.2500  6 O 2.01
6 Sb 0.0000 0.0000 0.7500  6 O 2.01
7 Sb 0.3333 0.6667 0.7500  6 O 2.01
8 Sb 0.6667 0.3333 0.2500  6 O 2.01
9 O 0.0482 0.3333 0.8286  2 Sb 2.01
10 O 0.0482 0.7149 0.6714  2 Sb 2.01
11 O 0.2851 0.3333 0.6714  2 Sb 2.01
12 O 0.2851 0.9518 0.8286  2 Sb 2.01
13 O 0.3333 0.0482 0.3286  2 Sb 2.01
14 O 0.3333 0.2851 0.1714  2 Sb 2.01
15 O 0.6667 0.7149 0.8286  2 Sb 2.01
16 O 0.6667 0.9518 0.6714  2 Sb 2.01
17 O 0.7149 0.0482 0.1714  2 Sb 2.01
18 O 0.7149 0.6667 0.3286  2 Sb 2.01
19 O 0.9518 0.2851 0.3286  2 Sb 2.01
20 O 0.9518 0.6667 0.1714  2 Sb 2.01


[6]
DFT (SCAN) results for a PBEsol-optimized structure of TlSbWO6.

Results
Space-group type: No. 46
Formation energy (no corrections): -1.79 eV/atom

a b c (Å): 7.2895 7.2895 7.2895
angles (deg): 120.40 90.85 118.63
Last column: nearest neighbours and their distance in Å.
Sites, in units of the cell vectors:
1 Tl 0.1537 0.2500 0.4037  4 O 2.73-2.95
2 Tl 0.8463 0.7500 0.5963  4 O 2.73-2.95
3 Sb 0.3913 0.3913 0.0000  6 O 1.98-1.99
4 Sb 0.3913 0.8913 0.5000  6 O 1.98-1.99
5 W 0.4264 0.9167 0.0098  5 O 1.80-1.92
6 W 0.9069 0.4167 0.9902  5 O 1.80-1.92
7 O 0.0718 0.2636 0.9358  1 W 1.92, 1 Sb 1.99
8 O 0.0718 0.6360 0.3082  1 W 1.92, 1 Sb 1.99
9 O 0.0879 0.6480 0.9399  1 W 1.80
10 O 0.3038 0.1321 0.6717  2 Sb 1.98
11 O 0.3278 0.1360 0.0642  1 W 1.92, 1 Sb 1.99
12 O 0.3278 0.7636 0.6918  1 W 1.92, 1 Sb 1.99
13 O 0.4550 0.0191 0.3098  1 W 1.89, 1 Sb 1.98
14 O 0.4550 0.6452 0.9360  1 W 1.89, 1 Sb 1.98
15 O 0.4604 0.6321 0.3283  2 Sb 1.98
16 O 0.7082 0.1480 0.0601  1 W 1.80
17 O 0.7093 0.1452 0.6902  1 W 1.89, 1 Sb 1.98
18 O 0.7093 0.5191 0.0640  1 W 1.89, 1 Sb 1.98


formation energy (no corrections) of number 6 (TlSbWO6)? -1.79 eV/atom